Computed, not measured: crystalline MgMn9CdO10 at its relaxed geometry at the PBE with a Hubbard U level of DFT.

Values from the calculation:
The energy above the lowest structure with this stoichiometry comes out at 84 meV per atom.

a = 9.2287 Å, b = 9.2287 Å, c = 6.0173 Å
α = 80.87°, β = 80.87°, γ = 140.61°
With the nearest neighbours (Å) after each atom.
Atoms (fractional coordinates):
Mg 0.4773 0.4773 0.6205  4 O 2.02-2.08
Mn 0.7205 0.0534 0.6336  5 O 2.14-2.32
Mn 0.9858 0.8036 0.1654  5 O 2.12-2.37
Mn 0.5912 0.2699 0.3915  4 O 2.03-2.17
Mn 0.8036 0.9858 0.1654  5 O 2.12-2.37
Mn 0.5728 0.1660 0.9294  4 O 2.16-2.24
Mn 0.0534 0.7205 0.6336  5 O 2.14-2.32
Mn 0.2699 0.5912 0.3915  4 O 2.03-2.17
Mn 0.1660 0.5728 0.9294  4 O 2.16-2.24
Mn 0.3039 0.3039 0.1937  2 O 2.02-2.05
Cd 0.9137 0.9137 0.7229  2 O 2.48-2.74
O 0.3046 0.0422 0.2561  5 Mn 2.16-2.39
O 0.5520 0.9062 0.0465  4 Mn 2.05-2.23
O 0.9062 0.5520 0.0465  4 Mn 2.05-2.23
O 0.0422 0.3046 0.2561  5 Mn 2.16-2.39
O 0.4217 0.9683 0.6836  4 Mn 2.03-2.24
O 0.1578 0.1578 0.9506  1 Mg 2.04, 3 Mn 2.05-2.21
O 0.6096 0.6096 0.2328  1 Mn 2.02, 1 Mg 2.08
O 0.7112 0.4935 0.5931  1 Mg 2.02, 2 Mn 2.14-2.15
O 0.9683 0.4217 0.6836  4 Mn 2.03-2.24
O 0.4935 0.7112 0.5931  1 Mg 2.02, 2 Mn 2.14-2.15